Record 1
Here is SmZnGa after structural relaxation from Alexandria. Energies are from PBEsol.

Results
- ΔE_f: -581.6 meV/atom
- Total moment: 0.0 Bohr magnetons per cell
- SG: P6_3/mmc, No. 194
- Density of states at the Fermi level: 3.50 states/eV per cell
- Raw total energy: -3.920 eV/atom
- Mass density: 7.8 g/cm³

Cell: 4.3857 4.3857 7.3320 Å, 90.00 90.00 120.00°
Atoms (fractional coordinates):
Zn 0.3333 0.6667 0.7500
Zn 0.6667 0.3333 0.2500
Ga 0.3333 0.6667 0.2500
Ga 0.6667 0.3333 0.7500
Sm 0.0000 0.0000 0.0000
Sm 0.0000 0.0000 0.5000


Record 2
Here is Ga2Sn2Te after structural relaxation from Alexandria. Energies are from PBEsol.

Results
- Total moment: 0.0 Bohr magnetons per cell
- SG: I4/mmm, No. 139
- Density of states at the Fermi level: 2.29 states/eV per cell
- Raw total energy: -3.742 eV/atom
- Mass density: 7.0 g/cm³

Cell: 3.8468 3.8468 8.5668 Å, 102.97 102.97 90.00°
Atoms (fractional coordinates):
Ga 0.2500 0.7500 0.5000
Ga 0.7500 0.2500 0.5000
Sn 0.6109 0.6109 0.2217
Sn 0.3891 0.3891 0.7783
Te 0.0000 0.0000 0.0000


Record 3
Here is Ga6SnTe10 after structural relaxation from Alexandria. Energies are from PBEsol.

Results
- Total moment: 0.0 Bohr magnetons per cell
- SG: C2, No. 5
- Raw total energy: -3.785 eV/atom
- Mass density: 5.8 g/cm³

Cell: 10.1373 10.1373 10.1482 Å, 90.06 90.06 89.71°
Atoms (fractional coordinates):
Te 0.4243 0.3375 0.0710
Te 0.3313 0.9310 0.5689
Te 0.5600 0.2378 0.6772
Te 0.4505 0.6701 0.2636
Te 0.3299 0.5495 0.7364
Te 0.0690 0.6687 0.4311
Te 0.6625 0.5757 0.9290
Te 0.8326 0.8382 0.1636
Te 0.0910 0.5135 0.0813
Te 0.9114 0.0886 0.5000
Te 0.6739 0.7568 0.5620
Te 0.4865 0.9090 0.9187
Te 0.7622 0.4400 0.3228
Te 0.8261 0.1739 0.0000
Te 0.0059 0.8220 0.8385
Te 0.1780 0.9941 0.1615
Te 0.1618 0.1674 0.8364
Te 0.5709 0.0702 0.3330
Te 0.2432 0.3261 0.4380
Te 0.9298 0.4291 0.6670
Ga 0.7406 0.3462 0.8276
Ga 0.1299 0.4291 0.8377
Ga 0.2596 0.8227 0.3356
Ga 0.3391 0.1684 0.2558
Ga 0.8426 0.5783 0.1181
Ga 0.5709 0.8701 0.1623
Ga 0.1578 0.1240 0.5768
Ga 0.4217 0.1574 0.8819
Ga 0.6538 0.2594 0.1724
Ga 0.1773 0.7404 0.6644
Ga 0.8316 0.6609 0.7442
Ga 0.8760 0.8422 0.4232
Sn 0.0079 0.2665 0.2482
Sn 0.7335 0.9921 0.7518


Record 4
Here is Ga2SnTe after structural relaxation from Alexandria. Energies are from PBEsol.

Results
- Total moment: 0.0 Bohr magnetons per cell
- SG: Fm-3m, No. 225
- Density of states at the Fermi level: 1.93 states/eV per cell
- Raw total energy: -3.546 eV/atom
- Mass density: 7.0 g/cm³
- E above lowest polymorph: 0.181 eV per atom

Cell: 5.0628 5.0628 5.0628 Å, 60.00 60.00 60.00°
Atoms (fractional coordinates):
Ga 0.2500 0.2500 0.2500
Ga 0.7500 0.7500 0.7500
Te 0.5000 0.5000 0.5000
Sn 0.0000 0.0000 0.0000


Record 5
Here is Ga2SnTe after structural relaxation from Alexandria. Energies are from PBEsol.

Results
- Total moment: 0.0 Bohr magnetons per cell
- SG: I-42d, No. 122
- Density of states at the Fermi level: 0.52 states/eV per cell
- Raw total energy: -3.727 eV/atom
- Mass density: 5.4 g/cm³
- E above lowest polymorph: 0.000 eV per atom

Cell: 6.1592 6.1592 7.5838 Å, 113.96 113.96 90.00°
Atoms (fractional coordinates):
Sn 0.5000 0.5000 0.0000
Sn 0.7500 0.2500 0.5000
Te 0.2500 0.7500 0.5000
Te 0.0000 0.0000 0.0000
Ga 0.6250 0.6079 0.7500
Ga 0.3921 0.8750 0.2500
Ga 0.1250 0.1421 0.7500
Ga 0.8579 0.3750 0.2500


Record 6
Here is Ti2Ga2Sn after structural relaxation from Alexandria. Energies are from PBEsol.

Results
- ΔE_f: -139.6 meV/atom
- Total moment: 0.0 Bohr magnetons per cell
- SG: I4/mmm, No. 139
- Density of states at the Fermi level: 4.96 states/eV per cell
- Raw total energy: -5.656 eV/atom
- Mass density: 6.6 g/cm³

Cell: 3.6986 3.6986 7.0308 Å, 105.25 105.25 90.00°
Atoms (fractional coordinates):
Sn 0.0000 0.0000 0.0000
Ga 0.7500 0.2500 0.5000
Ga 0.2500 0.7500 0.5000
Ti 0.5953 0.5953 0.1906
Ti 0.4047 0.4047 0.8094


Record 7
Here is Tl3GaSn after structural relaxation from Alexandria. Energies are from PBEsol.

Results
- ΔE_f: 341.8 meV/atom
- Total moment: 0.0 Bohr magnetons per cell
- SG: Pm-3m, No. 221
- Density of states at the Fermi level: 3.10 states/eV per cell
- Raw total energy: -2.756 eV/atom
- Mass density: 8.8 g/cm³

Cell: 5.3209 5.3209 5.3209 Å, 90.00 90.00 90.00°
Atoms (fractional coordinates):
Tl 0.0000 0.5000 0.0000
Tl 0.0000 0.0000 0.5000
Tl 0.5000 0.0000 0.0000
Sn 0.5000 0.5000 0.5000
Ga 0.0000 0.0000 0.0000


Record 8
Here is TlGa2Sn2 after structural relaxation from Alexandria. Energies are from PBEsol.

Results
- ΔE_f: 52.0 meV/atom
- Total moment: 0.0 Bohr magnetons per cell
- SG: I4/mmm, No. 139
- Density of states at the Fermi level: 1.90 states/eV per cell
- Raw total energy: -3.514 eV/atom
- Mass density: 7.5 g/cm³

Cell: 4.7991 4.7991 6.5253 Å, 111.58 111.58 90.00°
Atoms (fractional coordinates):
Ga 0.2500 0.7500 0.5000
Ga 0.7500 0.2500 0.5000
Sn 0.6261 0.6261 0.2522
Sn 0.3739 0.3739 0.7478
Tl 0.0000 0.0000 0.0000


Copy entry 6 word for word.
Here is Ti2Ga2Sn after structural relaxation from Alexandria. Energies are from PBEsol.

Results
- ΔE_f: -139.6 meV/atom
- Total moment: 0.0 Bohr magnetons per cell
- SG: I4/mmm, No. 139
- Density of states at the Fermi level: 4.96 states/eV per cell
- Raw total energy: -5.656 eV/atom
- Mass density: 6.6 g/cm³

Cell: 3.6986 3.6986 7.0308 Å, 105.25 105.25 90.00°
Atoms (fractional coordinates):
Sn 0.0000 0.0000 0.0000
Ga 0.7500 0.2500 0.5000
Ga 0.2500 0.7500 0.5000
Ti 0.5953 0.5953 0.1906
Ti 0.4047 0.4047 0.8094